[1]
Computed, not measured: HgTePd3 at its PBEsol-relaxed geometry at the SCAN level of DFT.

Summary:
The uncorrected formation energy is 0.783 eV per atom. For the total magnetization, the calculation gives 0.00 μB/f.u. As for the raw total energy: -199.83 eV for the cell shown. The space group is Pm-3m, No. 221.

Cell and atoms, written as POSCAR:
```
HgTePd3
1.0
-3.8981 -1.1522 -2.7670
1.0494 -4.7767 0.5106
-2.8076 -0.1857 4.0326
Te Hg Pd
1 1 3
direct
0.5000 0.5000 0.5000
0.0000 0.0000 0.0000
0.0000 0.5000 0.0000
0.5000 0.0000 0.0000
0.0000 0.0000 0.5000
```

[2]
Computed, not measured: HgTe2Pd at its PBEsol-relaxed geometry at the SCAN level of DFT.

Summary:
The uncorrected formation energy is -0.191 eV per atom. For the total magnetization, the calculation gives 0.00 μB/f.u. As for the raw total energy: -176.21 eV for the cell shown. The space group is R-3m, No. 166.

Cell and atoms, written as POSCAR:
```
HgTe2Pd
1.0
4.0612 0.0000 0.0000
2.0306 3.5171 0.0000
2.0306 1.1724 8.3068
Te Hg Pd
2 1 1
direct
0.1131 0.1131 0.6608
0.8869 0.8869 0.3392
0.0000 0.0000 0.0000
0.5000 0.5000 0.5000
```